[1]
First-principles (SCAN) data for LiMnP2O7 at its PBEsol-relaxed geometry, as listed in Alexandria via LeMat-Bulk.

CIF file:
```
data_LiMnP2O7
_chemical_formula_sum 'Li4 Mn4 P8 O28'
_space_group_name_H-M_alt 'P 1 21/c 1'
_space_group_IT_number 14
_cell_length_a 6.8098
_cell_length_b 8.1463
_cell_length_c 9.1820
_cell_angle_alpha 90.00
_cell_angle_beta 110.44
_cell_angle_gamma 90.00
loop_
_space_group_symop_operation_xyz
'x,y,z'
'-x,-y,-z'
'-x,y+1/2,-z+1/2'
'x,-y+1/2,z+1/2'
loop_
_atom_site_label
_atom_site_type_symbol
_atom_site_fract_x
_atom_site_fract_y
_atom_site_fract_z
Li1 Li 0.2083 0.0630 0.0827
Mn1 Mn 0.3011 0.0708 0.6770
P1 P 0.0570 0.7394 0.7376
P2 P 0.4556 0.7245 0.0266
O1 O 0.0379 0.6146 0.6145
O2 O 0.1114 0.5874 0.1987
O3 O 0.1387 0.2474 0.7124
O4 O 0.2365 0.6850 0.8972
O5 O 0.3785 0.2292 0.5525
O6 O 0.4562 0.6126 0.6071
O7 O 0.4859 0.5790 0.1396
```

Computed properties:
**Excess energy over the best structure of this formula in the dataset**: 17 meV per atom
**Crystal system**: monoclinic
**Uncorrected energy**: -10.173 eV per atom
**Formation energy without anion corrections**: -2.4401 eV/atom



[2]
First-principles (SCAN) data for Li7Mn4P9O32 at its PBEsol-relaxed geometry, as listed in Alexandria via LeMat-Bulk.

CIF file:
```
data_Li7Mn4P9O32
_chemical_formula_sum 'Li14 Mn8 P18 O64'
_space_group_name_H-M_alt 'P -4 21 c'
_space_group_IT_number 114
_cell_length_a 13.7710
_cell_length_b 13.7710
_cell_length_c 6.1231
_cell_angle_alpha 90.00
_cell_angle_beta 90.00
_cell_angle_gamma 90.00
loop_
_space_group_symop_operation_xyz
'x,y,z'
'y,-x,-z'
'-x,-y,z'
'-y,x,-z'
'x+1/2,-y+1/2,-z+1/2'
'y+1/2,x+1/2,z+1/2'
'-x+1/2,y+1/2,-z+1/2'
'-y+1/2,-x+1/2,z+1/2'
loop_
_atom_site_label
_atom_site_type_symbol
_atom_site_fract_x
_atom_site_fract_y
_atom_site_fract_z
Li1 Li 0.0000 0.0000 0.0000
Li2 Li 0.0000 0.5000 0.1441
Li3 Li 0.1066 0.2520 0.8298
Mn1 Mn 0.1215 0.8063 0.6378
P1 P 0.0000 0.0000 0.5000
P2 P 0.0617 0.3111 0.3897
P3 P 0.1100 0.7502 0.1465
O1 O 0.0027 0.2739 0.1682
O2 O 0.0185 0.2567 0.5845
O3 O 0.0521 0.4198 0.3955
O4 O 0.0582 0.9343 0.6601
O5 O 0.1174 0.8156 0.9452
O6 O 0.1384 0.8192 0.3338
O7 O 0.1562 0.6667 0.6392
O8 O 0.1652 0.2773 0.3395
```

Computed properties:
**Crystal system**: tetragonal
**Uncorrected energy**: -9.805 eV per atom
**Formation energy without anion corrections**: -2.4449 eV/atom



[3]
First-principles (SCAN) data for Li4MnP2O9 at its PBEsol-relaxed geometry, as listed in Alexandria via LeMat-Bulk.

CIF file:
```
data_Li4MnP2O9
_chemical_formula_sum 'Li16 Mn4 P8 O36'
_space_group_name_H-M_alt 'C 1 2/m 1'
_space_group_IT_number 12
_cell_length_a 13.9908
_cell_length_b 6.7020
_cell_length_c 6.8836
_cell_angle_alpha 90.00
_cell_angle_beta 91.04
_cell_angle_gamma 90.00
loop_
_space_group_symop_operation_xyz
'x,y,z'
'-x,-y,-z'
'-x,y,-z'
'x,-y,z'
'x+1/2,y+1/2,z'
'-x+1/2,-y+1/2,-z'
'-x+1/2,y+1/2,-z'
'x+1/2,-y+1/2,z'
loop_
_atom_site_label
_atom_site_type_symbol
_atom_site_fract_x
_atom_site_fract_y
_atom_site_fract_z
Li1 Li 0.0000 0.2404 0.0000
Li2 Li 0.1070 0.0000 0.2260
Li3 Li 0.1345 0.5000 0.7133
Li4 Li 0.2500 0.2500 0.5000
Mn1 Mn 0.2500 0.2500 0.0000
P1 P 0.1029 0.5000 0.2420
P2 P 0.1249 0.0000 0.7063
O1 O 0.0052 0.5000 0.7633
O2 O 0.0321 0.0000 0.8184
O3 O 0.1249 0.0000 0.4872
O4 O 0.1307 0.3085 0.1198
O5 O 0.1570 0.5000 0.4364
O6 O 0.1841 0.1935 0.7635
O7 O 0.2370 0.0000 0.1000
```

Computed properties:
**Crystal system**: monoclinic
**Uncorrected energy**: -9.046 eV per atom
**Formation energy without anion corrections**: -2.5023 eV/atom



[4]
First-principles (SCAN) data for Li2MnP2O8 at its PBEsol-relaxed geometry, as listed in Alexandria via LeMat-Bulk.

CIF file:
```
data_Li2MnP2O8
_chemical_formula_sum 'Li2 Mn1 P2 O8'
_space_group_name_H-M_alt 'P -1'
_space_group_IT_number 2
_cell_length_a 4.5666
_cell_length_b 4.9062
_cell_length_c 6.9187
_cell_angle_alpha 89.83
_cell_angle_beta 81.84
_cell_angle_gamma 63.31
loop_
_space_group_symop_operation_xyz
'x,y,z'
'-x,-y,-z'
loop_
_atom_site_label
_atom_site_type_symbol
_atom_site_fract_x
_atom_site_fract_y
_atom_site_fract_z
Li1 Li 0.2104 0.2950 0.3447
Mn1 Mn 0.0000 0.0000 0.0000
P1 P 0.3988 0.3416 0.7872
O1 O 0.2170 0.2347 0.9528
O2 O 0.2219 0.8845 0.2312
O3 O 0.2670 0.3529 0.5987
O4 O 0.3579 0.6671 0.8461
```

Computed properties:
**Excess energy over the best structure of this formula in the dataset**: 44 meV per atom
**Crystal system**: triclinic
**Uncorrected energy**: -9.603 eV per atom
**Formation energy without anion corrections**: -2.3966 eV/atom



[5]
First-principles (SCAN) data for Li4MnSn3P4O16 at its PBEsol-relaxed geometry, as listed in Alexandria via LeMat-Bulk.

CIF file:
```
data_Li4MnSn3P4O16
_chemical_formula_sum 'Li4 Mn1 Sn3 P4 O16'
_space_group_name_H-M_alt 'P 1 m 1'
_space_group_IT_number 6
_cell_length_a 4.7737
_cell_length_b 6.7579
_cell_length_c 10.7417
_cell_angle_alpha 90.00
_cell_angle_beta 91.26
_cell_angle_gamma 90.00
loop_
_space_group_symop_operation_xyz
'x,y,z'
'x,-y,z'
loop_
_atom_site_label
_atom_site_type_symbol
_atom_site_fract_x
_atom_site_fract_y
_atom_site_fract_z
Li1 Li 0.0000 0.2238 0.0000
Li2 Li 0.4535 0.2589 0.4865
Mn1 Mn 0.9063 0.5000 0.2730
Sn1 Sn 0.0212 0.0000 0.7031
Sn2 Sn 0.4081 0.0000 0.2128
Sn3 Sn 0.5011 0.5000 0.7795
P1 P 0.0381 0.5000 0.5599
P2 P 0.3359 0.5000 0.0943
P3 P 0.5817 0.0000 0.9255
P4 P 0.8572 0.0000 0.4155
O1 O 0.1640 0.3186 0.6329
O2 O 0.1695 0.5000 0.4284
O3 O 0.1764 0.0000 0.4332
O4 O 0.1940 0.3185 0.1562
O5 O 0.2354 0.5000 0.9544
O6 O 0.2650 0.0000 0.9451
O7 O 0.6543 0.5000 0.1120
O8 O 0.6900 0.1839 0.8527
O9 O 0.7126 0.0000 0.5465
O10 O 0.7178 0.5000 0.5517
O11 O 0.7398 0.0000 0.0546
O12 O 0.7407 0.1862 0.3444
```

Computed properties:
**Crystal system**: monoclinic
**Uncorrected energy**: -12.122 eV per atom
**Formation energy without anion corrections**: -2.2338 eV/atom



[6]
First-principles (SCAN) data for Li2MnSnP2O8 at its PBEsol-relaxed geometry, as listed in Alexandria via LeMat-Bulk.

CIF file:
```
data_Li2MnSnP2O8
_chemical_formula_sum 'Li4 Mn2 Sn2 P4 O16'
_space_group_name_H-M_alt 'P 1 21/m 1'
_space_group_IT_number 11
_cell_length_a 4.8016
_cell_length_b 6.3222
_cell_length_c 11.0019
_cell_angle_alpha 90.00
_cell_angle_beta 90.35
_cell_angle_gamma 90.00
loop_
_space_group_symop_operation_xyz
'x,y,z'
'-x,-y,-z'
'-x,y+1/2,-z'
'x,-y+1/2,z'
loop_
_atom_site_label
_atom_site_type_symbol
_atom_site_fract_x
_atom_site_fract_y
_atom_site_fract_z
Li1 Li 0.0000 0.0000 0.0000
Li2 Li 0.5000 0.0000 0.5000
Mn1 Mn 0.0657 0.2500 0.7087
Sn1 Sn 0.4751 0.2500 0.2208
P1 P 0.0846 0.7500 0.5755
P2 P 0.3527 0.7500 0.1093
O1 O 0.2071 0.7500 0.4454
O2 O 0.2077 0.5551 0.1704
O3 O 0.2128 0.5517 0.6416
O4 O 0.2357 0.2500 0.4210
O5 O 0.2514 0.7500 0.9752
O6 O 0.3307 0.2500 0.8741
```

Computed properties:
**Crystal system**: monoclinic
**Uncorrected energy**: -11.559 eV per atom
**Formation energy without anion corrections**: -2.3015 eV/atom



[7]
First-principles (SCAN) data for Li8TiMn3P6O24 at its PBEsol-relaxed geometry, as listed in Alexandria via LeMat-Bulk.

CIF file:
```
data_Li8TiMn3P6O24
_chemical_formula_sum 'Li24 Ti3 Mn9 P18 O72'
_space_group_name_H-M_alt 'R 3'
_space_group_IT_number 146
_space_group_name_Hall 'R 3'
_cell_length_a 8.8859
_cell_length_b 8.8859
_cell_length_c 20.3815
_cell_angle_alpha 90.00
_cell_angle_beta 90.00
_cell_angle_gamma 120.00
loop_
_atom_site_label
_atom_site_type_symbol
_atom_site_fract_x
_atom_site_fract_y
_atom_site_fract_z
Li1 Li 0.0000 0.0000 0.0000
Li2 Li 0.0000 0.0000 0.4910
Li3 Li 0.0247 0.6101 0.7375
Li4 Li 0.0905 0.3832 0.5804
Ti1 Ti 0.0000 0.0000 0.6528
Mn1 Mn 0.0000 0.0000 0.1558
Mn2 Mn 0.0000 0.0000 0.3536
Mn3 Mn 0.0000 0.0000 0.8488
P1 P 0.0032 0.6936 0.2581
P2 P 0.0037 0.3032 0.7575
O1 O 0.0121 0.7893 0.3215
O2 O 0.0268 0.8401 0.9278
O3 O 0.0318 0.8036 0.1968
O4 O 0.0326 0.8432 0.5913
O5 O 0.1135 0.4451 0.4903
O6 O 0.1602 0.4691 0.0920
O7 O 0.1670 0.4733 0.3699
O8 O 0.1835 0.4652 0.7422
```

Computed properties:
**Crystal system**: trigonal
**Uncorrected energy**: -9.718 eV per atom
**Formation energy without anion corrections**: -2.5310 eV/atom



[8]
First-principles (SCAN) data for Li4Mn3VP4O16 at its PBEsol-relaxed geometry, as listed in Alexandria via LeMat-Bulk.

CIF file:
```
data_Li4Mn3VP4O16
_chemical_formula_sum 'Li4 Mn3 V1 P4 O16'
_space_group_name_H-M_alt 'P 1 m 1'
_space_group_IT_number 6
_cell_length_a 4.7019
_cell_length_b 6.0497
_cell_length_c 10.3417
_cell_angle_alpha 90.00
_cell_angle_beta 90.10
_cell_angle_gamma 90.00
loop_
_space_group_symop_operation_xyz
'x,y,z'
'x,-y,z'
loop_
_atom_site_label
_atom_site_type_symbol
_atom_site_fract_x
_atom_site_fract_y
_atom_site_fract_z
Li1 Li 0.0000 0.2473 0.0000
Li2 Li 0.4989 0.2512 0.4970
Mn1 Mn 0.0226 0.0000 0.7176
Mn2 Mn 0.5256 0.5000 0.7785
Mn3 Mn 0.9750 0.5000 0.2747
V1 V 0.4775 0.0000 0.2215
P1 P 0.0836 0.5000 0.5881
P2 P 0.4151 0.5000 0.0882
P3 P 0.5822 0.0000 0.9078
P4 P 0.9121 0.0000 0.4018
O1 O 0.2081 0.5000 0.4493
O2 O 0.2178 0.2963 0.6586
O3 O 0.2380 0.0000 0.3994
O4 O 0.2565 0.0000 0.9029
O5 O 0.2816 0.2959 0.1590
O6 O 0.2868 0.5000 0.9499
O7 O 0.7061 0.0000 0.0468
O8 O 0.7178 0.2028 0.8366
O9 O 0.7411 0.5000 0.0904
O10 O 0.7575 0.5000 0.5910
O11 O 0.7742 0.2032 0.3308
O12 O 0.7897 0.0000 0.5407
```

Computed properties:
**Crystal system**: monoclinic
**Uncorrected energy**: -10.481 eV per atom
**Formation energy without anion corrections**: -2.5131 eV/atom



Q: formation energy without anion corrections of number 3 (Li4MnP2O9)?
A: -2.5023 eV/atom



Q: Look up the formation energy without anion corrections of the sixth one.
A: -2.3015 eV/atom



Please write out number 2 again, unchanged.
First-principles (SCAN) data for Li7Mn4P9O32 at its PBEsol-relaxed geometry, as listed in Alexandria via LeMat-Bulk.

CIF file:
```
data_Li7Mn4P9O32
_chemical_formula_sum 'Li14 Mn8 P18 O64'
_space_group_name_H-M_alt 'P -4 21 c'
_space_group_IT_number 114
_cell_length_a 13.7710
_cell_length_b 13.7710
_cell_length_c 6.1231
_cell_angle_alpha 90.00
_cell_angle_beta 90.00
_cell_angle_gamma 90.00
loop_
_space_group_symop_operation_xyz
'x,y,z'
'y,-x,-z'
'-x,-y,z'
'-y,x,-z'
'x+1/2,-y+1/2,-z+1/2'
'y+1/2,x+1/2,z+1/2'
'-x+1/2,y+1/2,-z+1/2'
'-y+1/2,-x+1/2,z+1/2'
loop_
_atom_site_label
_atom_site_type_symbol
_atom_site_fract_x
_atom_site_fract_y
_atom_site_fract_z
Li1 Li 0.0000 0.0000 0.0000
Li2 Li 0.0000 0.5000 0.1441
Li3 Li 0.1066 0.2520 0.8298
Mn1 Mn 0.1215 0.8063 0.6378
P1 P 0.0000 0.0000 0.5000
P2 P 0.0617 0.3111 0.3897
P3 P 0.1100 0.7502 0.1465
O1 O 0.0027 0.2739 0.1682
O2 O 0.0185 0.2567 0.5845
O3 O 0.0521 0.4198 0.3955
O4 O 0.0582 0.9343 0.6601
O5 O 0.1174 0.8156 0.9452
O6 O 0.1384 0.8192 0.3338
O7 O 0.1562 0.6667 0.6392
O8 O 0.1652 0.2773 0.3395
```

Computed properties:
**Crystal system**: tetragonal
**Uncorrected energy**: -9.805 eV per atom
**Formation energy without anion corrections**: -2.4449 eV/atom